Entry from Alexandria via LeMat-Bulk: BaSr at its PBEsol-relaxed geometry (meta-GGA SCAN).

The raw total energy is -61.79 eV per formula unit.

The space group is Imma (No. 74) and the conventional cell measures 4.773, 6.769 and 13.547 Å, with angles of 90.00, 90.00 and 90.00 degrees. Symmetry generates all atoms from Ba at (0.000, 0.250, 0.123) and Sr at (0.000, 0.250, 0.627).